The following is a PBE-GGA calculation of an optimized crystal structure of Mn2TcSe, from Alexandria.

Cell lengths 8.1344, 8.1344, 8.1344 Å; angles 20.33, 20.33, 20.33 degrees
Sites, in units of the cell vectors:
Mn1 0.0000 0.0000 0.0000
Mn2 0.2505 0.2505 0.2505
Tc1 0.7446 0.7446 0.7446
Se1 0.5104 0.5104 0.5104

=====

The following is a PBE-GGA calculation of an optimized crystal structure of Ho7Tl2In, from Alexandria.

Cell lengths 5.2786, 5.2786, 12.6343 Å; angles 90.00, 90.00, 120.00 degrees
Sites, in units of the cell vectors:
Ho1 0.0000 0.0000 0.0000
Ho2 0.0000 0.0000 0.2595
Ho3 0.0000 0.0000 0.7371
Ho4 0.3333 0.6667 0.4102
Ho5 0.3333 0.6667 0.8765
Ho6 0.6667 0.3333 0.1241
Ho7 0.6667 0.3333 0.5828
Tl1 0.0000 0.0000 0.4983
Tl2 0.6667 0.3333 0.8498
In1 0.3333 0.6667 0.1450

Computed properties:
* energy of formation from the pure elements: -0.82 eV per formula unit

=====

The following is a PBE-GGA calculation of an optimized crystal structure of LaCdIn, from Alexandria.

Cell lengths 4.9504, 6.4318, 6.5490 Å; angles 107.30, 100.93, 112.21 degrees
Sites, in units of the cell vectors:
La1 0.2081 0.3413 0.2126
La2 0.7919 0.6587 0.7874
Cd1 0.4889 0.0638 0.7975
Cd2 0.5111 0.9362 0.2025
In1 0.0368 0.2444 0.6638
In2 0.9632 0.7556 0.3362

Computed properties:
* energy of formation from the pure elements: -1.09 eV per formula unit

=====

Number 1: total moment 0.841 μB per atom, VASP energy -7.72 eV/atom, volume 56.85 Å³/cell. Number 2: total moment 0.131 μB per atom, VASP energy -4.03 eV/atom, volume 304.87 Å³/cell. Number 3: total moment 0.000 μB per atom, VASP energy -3.22 eV/atom, volume 173.22 Å³/cell.